Entry 1:
{
  "formula": "AcReN3",
  "functional": "PBE",
  "state": "relaxed",
  "lattice_angstrom": [[3.111, 0.000, 0.000], [0.000, 6.702, 0.000], [0.000, 0.000, 7.265]],
  "species": ["Ac", "Ac", "Re", "Re", "N", "N", "N", "N", "N", "N"],
  "frac_coords": [[0.250, 0.250, 0.191], [0.750, 0.750, 0.809], [0.250, 0.750, 0.270], [0.750, 0.250, 0.730], [0.250, 0.059, 0.810], [0.250, 0.441, 0.810], [0.250, 0.750, 0.508], [0.750, 0.250, 0.492], [0.750, 0.559, 0.190], [0.750, 0.941, 0.190]],
  "e_form_raw_ev_per_atom": -0.299,
  "spacegroup": "Pmmn",
  "dos_ef_per_ev_cell": 5.8
}

=====

Entry 2:
{
  "formula": "Ac5ReN6",
  "functional": "PBE",
  "state": "relaxed",
  "lattice_angstrom": [[3.210, -5.590, 0.000], [3.210, 5.590, 0.000], [-2.076, 0.000, 6.004]],
  "species": ["Ac", "Ac", "Ac", "Ac", "Ac", "Re", "N", "N", "N", "N", "N", "N"],
  "frac_coords": [[0.000, 0.000, 0.000], [0.168, 0.832, 0.500], [0.339, 0.661, 0.000], [0.661, 0.339, 0.000], [0.832, 0.168, 0.500], [0.500, 0.500, 0.500], [0.160, 0.431, 0.297], [0.285, 0.285, 0.728], [0.431, 0.160, 0.297], [0.569, 0.840, 0.703], [0.715, 0.715, 0.272], [0.840, 0.569, 0.703]],
  "e_form_raw_ev_per_atom": -0.699,
  "spacegroup": "C2/m",
  "dos_ef_per_ev_cell": 6.1
}

=====

Entry 3:
{
  "formula": "Ac2Re2N5",
  "functional": "PBE",
  "state": "relaxed",
  "lattice_angstrom": [[4.015, 0.000, 0.000], [0.000, 4.015, 0.000], [0.000, 0.000, 7.903]],
  "species": ["Ac", "Ac", "Re", "Re", "N", "N", "N", "N", "N"],
  "frac_coords": [[0.000, 0.000, 0.000], [0.000, 0.000, 0.500], [0.500, 0.500, 0.248], [0.500, 0.500, 0.752], [0.000, 0.500, 0.266], [0.000, 0.500, 0.734], [0.500, 0.000, 0.266], [0.500, 0.000, 0.734], [0.500, 0.500, 0.000]],
  "e_form_raw_ev_per_atom": -0.736,
  "relative_energy_ev_per_atom": 0.000,
  "spacegroup": "P4/mmm",
  "dos_ef_per_ev_cell": 1.9
}

=====

Entry 4:
{
  "formula": "Ac3Re5N12",
  "functional": "PBE",
  "state": "relaxed",
  "lattice_angstrom": [[-6.625, 6.625, 6.625], [6.625, -6.625, 6.625], [6.625, 6.625, -6.625]],
  "species": ["Ac", "Ac", "Ac", "Ac", "Ac", "Ac", "Ac", "Ac", "Ac", "Ac", "Ac", "Ac", "Re", "Re", "Re", "Re", "Re", "Re", "Re", "Re", "Re", "Re", "Re", "Re", "Re", "Re", "Re", "Re", "Re", "Re", "Re", "Re", "N", "N", "N", "N", "N", "N", "N", "N", "N", "N", "N", "N", "N", "N", "N", "N", "N", "N", "N", "N", "N", "N", "N", "N", "N", "N", "N", "N", "N", "N", "N", "N", "N", "N", "N", "N", "N", "N", "N", "N", "N", "N", "N", "N", "N", "N", "N", "N"],
  "frac_coords": [[0.125, 0.250, 0.375], [0.125, 0.375, 0.750], [0.250, 0.375, 0.125], [0.250, 0.875, 0.625], [0.375, 0.125, 0.250], [0.375, 0.750, 0.125], [0.625, 0.250, 0.875], [0.625, 0.875, 0.750], [0.750, 0.125, 0.375], [0.750, 0.625, 0.875], [0.875, 0.625, 0.250], [0.875, 0.750, 0.625], [0.000, 0.000, 0.000], [0.000, 0.000, 0.500], [0.000, 0.500, 0.000], [0.000, 0.500, 0.500], [0.125, 0.750, 0.875], [0.125, 0.875, 0.250], [0.250, 0.125, 0.875], [0.250, 0.625, 0.375], [0.375, 0.250, 0.625], [0.375, 0.625, 0.750], [0.500, 0.000, 0.000], [0.500, 0.000, 0.500], [0.500, 0.500, 0.000], [0.500, 0.500, 0.500], [0.625, 0.375, 0.250], [0.625, 0.750, 0.375], [0.750, 0.375, 0.625], [0.750, 0.875, 0.125], [0.875, 0.125, 0.750], [0.875, 0.250, 0.125], [0.000, 0.184, 0.109], [0.000, 0.316, 0.891], [0.000, 0.684, 0.109], [0.000, 0.816, 0.891], [0.075, 0.684, 0.684], [0.075, 0.891, 0.391], [0.109, 0.000, 0.184], [0.109, 0.000, 0.684], [0.109, 0.609, 0.425], [0.109, 0.609, 0.925], [0.184, 0.109, 0.000], [0.184, 0.184, 0.575], [0.184, 0.500, 0.609], [0.184, 0.575, 0.184], [0.316, 0.316, 0.925], [0.316, 0.500, 0.391], [0.316, 0.891, 0.000], [0.316, 0.925, 0.316], [0.391, 0.075, 0.891], [0.391, 0.316, 0.500], [0.391, 0.575, 0.891], [0.391, 0.816, 0.500], [0.425, 0.109, 0.609], [0.425, 0.816, 0.816], [0.500, 0.391, 0.316], [0.500, 0.391, 0.816], [0.500, 0.609, 0.184], [0.500, 0.609, 0.684], [0.575, 0.184, 0.184], [0.575, 0.891, 0.391], [0.609, 0.184, 0.500], [0.609, 0.425, 0.109], [0.609, 0.684, 0.500], [0.609, 0.925, 0.109], [0.684, 0.075, 0.684], [0.684, 0.109, 0.000], [0.684, 0.500, 0.609], [0.684, 0.684, 0.075], [0.816, 0.425, 0.816], [0.816, 0.500, 0.391], [0.816, 0.816, 0.425], [0.816, 0.891, 0.000], [0.891, 0.000, 0.316], [0.891, 0.000, 0.816], [0.891, 0.391, 0.075], [0.891, 0.391, 0.575], [0.925, 0.109, 0.609], [0.925, 0.316, 0.316]],
  "e_form_raw_ev_per_atom": -0.514,
  "spacegroup": "Ia-3d",
  "dos_ef_per_ev_cell": 37.8
}

=====

Entry 5:
{
  "formula": "AcReN",
  "functional": "PBE",
  "state": "relaxed",
  "lattice_angstrom": [[1.721, -10.324, 0.000], [1.721, 10.324, 0.000], [0.000, 0.000, 3.625]],
  "species": ["Ac", "Ac", "Re", "Re", "N", "N"],
  "frac_coords": [[0.103, 0.897, 0.750], [0.897, 0.103, 0.250], [0.272, 0.728, 0.750], [0.728, 0.272, 0.250], [0.367, 0.633, 0.750], [0.633, 0.367, 0.250]],
  "e_form_raw_ev_per_atom": -0.303,
  "spacegroup": "Cmcm",
  "dos_ef_per_ev_cell": 4.5
}

=====

Entry 6:
{
  "formula": "Ac3Re2N8",
  "functional": "PBE",
  "state": "relaxed",
  "lattice_angstrom": [[2.919, 1.685, 7.112], [-2.919, 1.685, 7.112], [0.000, -3.370, 7.112]],
  "species": ["Ac", "Ac", "Ac", "Re", "Re", "N", "N", "N", "N", "N", "N", "N", "N"],
  "frac_coords": [[0.000, 0.000, 0.000], [0.204, 0.204, 0.204], [0.796, 0.796, 0.796], [0.407, 0.407, 0.407], [0.593, 0.593, 0.593], [0.224, 0.734, 0.734], [0.266, 0.266, 0.776], [0.266, 0.776, 0.266], [0.322, 0.322, 0.322], [0.678, 0.678, 0.678], [0.734, 0.224, 0.734], [0.734, 0.734, 0.224], [0.776, 0.266, 0.266]],
  "e_form_raw_ev_per_atom": -0.755,
  "spacegroup": "R-3m",
  "dos_ef_per_ev_cell": 10.3
}

=====

Entry 7:
{
  "formula": "Ac3ReN4",
  "functional": "PBE",
  "state": "relaxed",
  "lattice_angstrom": [[7.803, 0.000, 0.000], [0.000, 7.038, 0.000], [0.000, 0.000, 6.978]],
  "species": ["Ac", "Ac", "Ac", "Ac", "Ac", "Ac", "Re", "Re", "N", "N", "N", "N", "N", "N", "N", "N"],
  "frac_coords": [[0.000, 0.169, 0.000], [0.233, 0.355, 0.510], [0.267, 0.645, 0.010], [0.500, 0.831, 0.500], [0.733, 0.645, 0.010], [0.767, 0.355, 0.510], [0.000, 0.838, 0.347], [0.500, 0.162, 0.847], [0.000, 0.101, 0.399], [0.000, 0.823, 0.071], [0.207, 0.714, 0.397], [0.293, 0.286, 0.897], [0.500, 0.177, 0.571], [0.500, 0.899, 0.899], [0.707, 0.286, 0.897], [0.793, 0.714, 0.397]],
  "e_form_raw_ev_per_atom": -0.728,
  "spacegroup": "Pmn2_1",
  "dos_ef_per_ev_cell": 5.3
}

=====

Entry 8:
{
  "formula": "Ac2Re2N5",
  "functional": "PBE",
  "state": "relaxed",
  "lattice_angstrom": [[5.679, -2.073, 0.000], [5.679, 2.073, 0.000], [-1.728, 0.000, 5.872]],
  "species": ["Ac", "Ac", "Re", "Re", "N", "N", "N", "N", "N"],
  "frac_coords": [[0.105, 0.105, 0.315], [0.895, 0.895, 0.685], [0.356, 0.356, 0.128], [0.644, 0.644, 0.872], [0.180, 0.180, 0.932], [0.341, 0.341, 0.424], [0.500, 0.500, 0.000], [0.659, 0.659, 0.576], [0.820, 0.820, 0.068]],
  "e_form_raw_ev_per_atom": -0.512,
  "relative_energy_ev_per_atom": 0.224,
  "spacegroup": "C2/m",
  "dos_ef_per_ev_cell": 3.1
}

=====

Entry 9:
{
  "formula": "AcReN4",
  "functional": "PBE",
  "state": "relaxed",
  "lattice_angstrom": [[3.038, -4.736, 0.000], [3.038, 4.736, 0.000], [0.000, 0.000, 8.451]],
  "species": ["Ac", "Ac", "Re", "Re", "N", "N", "N", "N", "N", "N", "N", "N"],
  "frac_coords": [[0.000, 0.000, 0.000], [0.000, 0.000, 0.500], [0.374, 0.626, 0.750], [0.626, 0.374, 0.250], [0.233, 0.267, 0.750], [0.267, 0.233, 0.250], [0.267, 0.733, 0.572], [0.267, 0.733, 0.928], [0.733, 0.267, 0.072], [0.733, 0.267, 0.428], [0.733, 0.767, 0.750], [0.767, 0.733, 0.250]],
  "e_form_raw_ev_per_atom": -0.020,
  "spacegroup": "Cmcm",
  "dos_ef_per_ev_cell": 6.6
}

=====

Entry 10:
{
  "formula": "AcReN2",
  "functional": "PBE",
  "state": "relaxed",
  "lattice_angstrom": [[3.993, 0.000, 0.000], [0.000, 3.993, 0.000], [0.000, 0.000, 3.918]],
  "species": ["Ac", "Re", "N", "N"],
  "frac_coords": [[0.000, 0.000, 0.000], [0.500, 0.500, 0.500], [0.000, 0.500, 0.500], [0.500, 0.000, 0.500]],
  "e_form_raw_ev_per_atom": -0.793,
  "relative_energy_ev_per_atom": 0.000,
  "spacegroup": "P4/mmm",
  "dos_ef_per_ev_cell": 2.2
}

=====

Entry 11:
{
  "formula": "Ac3ReN5",
  "functional": "PBE",
  "state": "relaxed",
  "lattice_angstrom": [[-3.597, 3.597, 5.996], [3.597, -3.597, 5.996], [3.597, 3.597, -5.996]],
  "species": ["Ac", "Ac", "Ac", "Ac", "Ac", "Ac", "Re", "Re", "N", "N", "N", "N", "N", "N", "N", "N", "N", "N"],
  "frac_coords": [[0.177, 0.677, 0.853], [0.250, 0.250, 0.000], [0.323, 0.177, 0.500], [0.677, 0.823, 0.500], [0.750, 0.750, 0.000], [0.823, 0.323, 0.147], [0.250, 0.750, 0.500], [0.750, 0.250, 0.500], [0.000, 0.000, 0.000], [0.011, 0.797, 0.500], [0.203, 0.703, 0.213], [0.297, 0.511, 0.500], [0.489, 0.989, 0.787], [0.500, 0.500, 0.000], [0.511, 0.011, 0.213], [0.703, 0.489, 0.500], [0.797, 0.297, 0.787], [0.989, 0.203, 0.500]],
  "e_form_raw_ev_per_atom": -0.977,
  "spacegroup": "I4/mcm",
  "dos_ef_per_ev_cell": 1.9
}

=====

Entry 12:
{
  "formula": "AcRe2N5",
  "functional": "PBE",
  "state": "relaxed",
  "lattice_angstrom": [[-2.888, 2.888, 5.733], [2.888, -2.888, 5.733], [2.888, 2.888, -5.733]],
  "species": ["Ac", "Ac", "Re", "Re", "Re", "Re", "N", "N", "N", "N", "N", "N", "N", "N", "N", "N"],
  "frac_coords": [[0.250, 0.250, 0.000], [0.750, 0.750, 0.000], [0.154, 0.654, 0.807], [0.346, 0.154, 0.500], [0.654, 0.846, 0.500], [0.846, 0.346, 0.193], [0.000, 0.000, 0.000], [0.031, 0.244, 0.500], [0.244, 0.744, 0.213], [0.256, 0.469, 0.500], [0.469, 0.969, 0.213], [0.500, 0.500, 0.000], [0.531, 0.031, 0.787], [0.744, 0.531, 0.500], [0.756, 0.256, 0.787], [0.969, 0.756, 0.500]],
  "e_form_raw_ev_per_atom": -0.075,
  "spacegroup": "I4/mcm",
  "dos_ef_per_ev_cell": 1.2
}

=====

Entry 13:
{
  "formula": "Ac12Re3N5",
  "functional": "PBE",
  "state": "relaxed",
  "lattice_angstrom": [[-8.340, 8.340, 8.340], [8.340, -8.340, 8.340], [8.340, 8.340, -8.340]],
  "species": ["Ac", "Ac", "Ac", "Ac", "Ac", "Ac", "Ac", "Ac", "Ac", "Ac", "Ac", "Ac", "Ac", "Ac", "Ac", "Ac", "Ac", "Ac", "Ac", "Ac", "Ac", "Ac", "Ac", "Ac", "Ac", "Ac", "Ac", "Ac", "Ac", "Ac", "Ac", "Ac", "Ac", "Ac", "Ac", "Ac", "Ac", "Ac", "Ac", "Ac", "Ac", "Ac", "Ac", "Ac", "Ac", "Ac", "Ac", "Ac", "Re", "Re", "Re", "Re", "Re", "Re", "Re", "Re", "Re", "Re", "Re", "Re", "N", "N", "N", "N", "N", "N", "N", "N", "N", "N", "N", "N", "N", "N", "N", "N", "N", "N", "N", "N"],
  "frac_coords": [[0.026, 0.206, 0.124], [0.026, 0.320, 0.901], [0.081, 0.706, 0.680], [0.081, 0.876, 0.401], [0.099, 0.624, 0.419], [0.099, 0.974, 0.680], [0.124, 0.026, 0.206], [0.124, 0.599, 0.919], [0.180, 0.206, 0.581], [0.180, 0.474, 0.599], [0.206, 0.124, 0.026], [0.206, 0.581, 0.180], [0.294, 0.320, 0.919], [0.294, 0.474, 0.376], [0.320, 0.901, 0.026], [0.320, 0.919, 0.294], [0.376, 0.294, 0.474], [0.376, 0.581, 0.901], [0.401, 0.081, 0.876], [0.401, 0.820, 0.526], [0.419, 0.099, 0.624], [0.419, 0.820, 0.794], [0.474, 0.376, 0.294], [0.474, 0.599, 0.180], [0.526, 0.401, 0.820], [0.526, 0.624, 0.706], [0.581, 0.180, 0.206], [0.581, 0.901, 0.376], [0.599, 0.180, 0.474], [0.599, 0.919, 0.124], [0.624, 0.419, 0.099], [0.624, 0.706, 0.526], [0.680, 0.081, 0.706], [0.680, 0.099, 0.974], [0.706, 0.526, 0.624], [0.706, 0.680, 0.081], [0.794, 0.419, 0.820], [0.794, 0.876, 0.974], [0.820, 0.526, 0.401], [0.820, 0.794, 0.419], [0.876, 0.401, 0.081], [0.876, 0.974, 0.794], [0.901, 0.026, 0.320], [0.901, 0.376, 0.581], [0.919, 0.124, 0.599], [0.919, 0.294, 0.320], [0.974, 0.680, 0.099], [0.974, 0.794, 0.876], [0.125, 0.250, 0.375], [0.125, 0.375, 0.750], [0.250, 0.375, 0.125], [0.250, 0.875, 0.625], [0.375, 0.125, 0.250], [0.375, 0.750, 0.125], [0.625, 0.250, 0.875], [0.625, 0.875, 0.750], [0.750, 0.125, 0.375], [0.750, 0.625, 0.875], [0.875, 0.625, 0.250], [0.875, 0.750, 0.625], [0.000, 0.000, 0.000], [0.000, 0.000, 0.500], [0.000, 0.500, 0.000], [0.000, 0.500, 0.500], [0.125, 0.750, 0.875], [0.125, 0.875, 0.250], [0.250, 0.125, 0.875], [0.250, 0.625, 0.375], [0.375, 0.250, 0.625], [0.375, 0.625, 0.750], [0.500, 0.000, 0.000], [0.500, 0.000, 0.500], [0.500, 0.500, 0.000], [0.500, 0.500, 0.500], [0.625, 0.375, 0.250], [0.625, 0.750, 0.375], [0.750, 0.375, 0.625], [0.750, 0.875, 0.125], [0.875, 0.125, 0.750], [0.875, 0.250, 0.125]],
  "e_form_raw_ev_per_atom": -0.286,
  "spacegroup": "Ia-3d",
  "dos_ef_per_ev_cell": 44.0
}

=====

Entry 14:
{
  "formula": "Ac2Re3N8",
  "functional": "PBE",
  "state": "relaxed",
  "lattice_angstrom": [[6.216, -3.235, 0.000], [6.216, 3.235, 0.000], [-1.904, 0.000, 4.782]],
  "species": ["Ac", "Ac", "Re", "Re", "Re", "N", "N", "N", "N", "N", "N", "N", "N"],
  "frac_coords": [[0.233, 0.233, 0.164], [0.767, 0.767, 0.836], [0.202, 0.798, 0.500], [0.500, 0.500, 0.000], [0.798, 0.202, 0.500], [0.112, 0.112, 0.465], [0.186, 0.628, 0.117], [0.372, 0.814, 0.883], [0.404, 0.404, 0.610], [0.596, 0.596, 0.390], [0.628, 0.186, 0.117], [0.814, 0.372, 0.883], [0.888, 0.888, 0.535]],
  "e_form_raw_ev_per_atom": -0.288,
  "spacegroup": "C2/m",
  "dos_ef_per_ev_cell": 4.1
}